PrHo2Tc: relaxed, PBE-GGA.

Computed properties:
The relative energy among the computed polymorphs comes out at 57 meV/atom. As for the volume: 109.3 Å³/cell. The size of the total moment is 0.00 μB/cell. For the energy of formation, the calculation gives 0.000 eV per atom. Its density is 8.6 g/cm3.

abc: 3.4518 3.4518 9.1708
angles: 90.00 90.00 90.00
Space group P4/mmm (No. 123)
One atom of each set of equivalent atoms:
Pr: 0.0000 0.0000 0.0000 (multiplicity 1)
Ho: 0.5000 0.5000 0.3213 (multiplicity 2)
Tc: 0.0000 0.0000 0.5000 (multiplicity 1)